(1)
The following is a DFT calculation (GGA-PBE) of crystalline ScNiPd3 at its relaxed geometry.

Summary:
**Polymorph energy (0 for the lowest one)**: 0 meV/atom
**Calculated total energy**: -5.316 eV/atom
**Total moment**: 0.7 μB per formula unit

a = 4.561 Å, b = 4.561 Å, c = 4.561 Å
α = 90.00°, β = 90.00°, γ = 90.00°
Fractional coordinates of all 5 atoms:
Sc: 0.000 0.000 0.000
Ni: 0.500 0.500 0.500
Pd: 0.000 0.500 0.500
Pd: 0.500 0.000 0.500
Pd: 0.500 0.500 0.000

(2)
The following is a DFT calculation (GGA-PBE) of crystalline Hg2PbF2 at its relaxed geometry.

Summary:
**Calculated total energy**: -2.834 eV/atom
**Energy relative to the elements, uncorrected**: -6.1 eV per formula unit
**Total moment**: 0.0 μB per formula unit

a = 6.564 Å, b = 6.564 Å, c = 6.147 Å
α = 90.00°, β = 90.00°, γ = 90.00°
Fractional coordinates of all 10 atoms:
Hg: 0.172 0.328 0.000
Hg: 0.328 0.828 0.000
Hg: 0.672 0.172 0.000
Hg: 0.828 0.672 0.000
Pb: 0.000 0.000 0.500
Pb: 0.500 0.500 0.500
F: 0.198 0.698 0.500
F: 0.302 0.198 0.500
F: 0.698 0.802 0.500
F: 0.802 0.302 0.500

(3)
The following is a DFT calculation (GGA-PBE) of crystalline Tl2Ag2S3 at its relaxed geometry.

Summary:
**Calculated total energy**: -3.320 eV/atom
**Energy relative to the elements, uncorrected**: -0.4 eV per formula unit
**Total moment**: 0.0 μB per formula unit

a = 12.325 Å, b = 3.802 Å, c = 7.242 Å
α = 90.00°, β = 90.83°, γ = 90.00°
Fractional coordinates of all 14 atoms:
Tl: 0.112 0.000 0.385
Tl: 0.388 0.500 0.615
Tl: 0.612 0.500 0.385
Tl: 0.888 0.000 0.615
Ag: 0.132 0.500 0.906
Ag: 0.368 0.000 0.094
Ag: 0.632 0.000 0.906
Ag: 0.868 0.500 0.094
S: 0.000 0.000 0.000
S: 0.238 0.000 0.756
S: 0.262 0.500 0.244
S: 0.500 0.500 0.000
S: 0.738 0.500 0.756
S: 0.762 0.000 0.244

(4)
The following is a DFT calculation (GGA-PBE) of crystalline LiRuPb2 at its relaxed geometry.

Summary:
**Polymorph energy (0 for the lowest one)**: 114 meV/atom
**Calculated total energy**: -4.430 eV/atom
**Total moment**: 0.0 μB per formula unit

a = 3.504 Å, b = 4.056 Å, c = 5.749 Å
α = 90.00°, β = 90.00°, γ = 90.00°
Fractional coordinates of all 4 atoms:
Li: 0.000 0.000 0.000
Ru: 0.500 0.500 0.730
Pb: 0.000 0.000 0.546
Pb: 0.500 0.500 0.206

(5)
The following is a DFT calculation (GGA-PBE) of crystalline BaOsO2 at its relaxed geometry.

Summary:
**Calculated total energy**: -6.748 eV/atom
**Energy relative to the elements, uncorrected**: -3.9 eV per formula unit
**Total moment**: 1.6 μB per formula unit

a = 7.932 Å, b = 7.932 Å, c = 7.932 Å
α = 131.39°, β = 131.39°, γ = 71.20°
Fractional coordinates of all 16 atoms:
Ba: 0.000 0.000 0.000
Ba: 0.000 0.000 0.500
Ba: 0.000 0.500 0.000
Ba: 0.500 0.000 0.500
Os: 0.000 0.500 0.500
Os: 0.500 0.000 0.000
Os: 0.500 0.500 0.000
Os: 0.500 0.500 0.500
O: 0.213 0.279 0.566
O: 0.213 0.647 0.934
O: 0.279 0.213 0.066
O: 0.353 0.787 0.566
O: 0.647 0.213 0.434
O: 0.721 0.787 0.934
O: 0.787 0.353 0.066
O: 0.787 0.721 0.434

(6)
The following is a DFT calculation (GGA-PBE) of crystalline Ca4GaIr at its relaxed geometry.

Summary:
**Calculated total energy**: -3.673 eV/atom
**Total moment**: 0.0 μB per formula unit

a = 8.196 Å, b = 8.196 Å, c = 6.203 Å
α = 104.37°, β = 104.37°, γ = 112.17°
Fractional coordinates of all 12 atoms:
Ca: 0.053 0.713 0.925
Ca: 0.222 0.354 0.688
Ca: 0.287 0.947 0.575
Ca: 0.354 0.222 0.188
Ca: 0.646 0.778 0.812
Ca: 0.713 0.053 0.425
Ca: 0.778 0.646 0.312
Ca: 0.947 0.287 0.075
Ga: 0.366 0.634 0.250
Ga: 0.634 0.366 0.750
Ir: 0.002 0.998 0.750
Ir: 0.998 0.002 0.250

(7)
The following is a DFT calculation (GGA-PBE) of crystalline LaHf2Pb2 at its relaxed geometry.

Summary:
**Polymorph energy (0 for the lowest one)**: 134 meV/atom
**Calculated total energy**: -6.466 eV/atom
**Total moment**: 0.1 μB per formula unit

a = 8.875 Å, b = 8.875 Å, c = 3.311 Å
α = 90.00°, β = 90.00°, γ = 90.00°
Fractional coordinates of all 10 atoms:
La: 0.000 0.000 0.000
La: 0.500 0.500 0.000
Hf: 0.120 0.380 0.000
Hf: 0.380 0.880 0.000
Hf: 0.620 0.120 0.000
Hf: 0.880 0.620 0.000
Pb: 0.175 0.675 0.500
Pb: 0.325 0.175 0.500
Pb: 0.675 0.825 0.500
Pb: 0.825 0.325 0.500

(8)
The following is a DFT calculation (GGA-PBE) of crystalline TmAl2Ag2 at its relaxed geometry.

Summary:
**Polymorph energy (0 for the lowest one)**: 149 meV/atom
**Calculated total energy**: -3.622 eV/atom
**Total moment**: 0.0 μB per formula unit

a = 4.661 Å, b = 4.661 Å, c = 5.642 Å
α = 90.00°, β = 90.00°, γ = 120.00°
Fractional coordinates of all 5 atoms:
Tm: 0.000 0.000 0.000
Al: 0.333 0.667 0.675
Al: 0.667 0.333 0.325
Ag: 0.333 0.667 0.221
Ag: 0.667 0.333 0.779

- What is the formula in the eighth record?
  TmAl2Ag2